Compound: TlAsCl2
Source: Alexandria
Functional: PBE
Structure: relaxed

Raw total energy in eV for the cell shown: -10.76
Mass density in g/cm3: 5.9
ΔE to the lowest computed polymorph in meV per atom: 380
V in Å³/cell: 99
Symmetry: Pmmm (47)
Formation energy (no corrections) in meV per atom: -13
Total moment in μB per cell: 0.806

a = 3.3040 Å, b = 4.1739 Å, c = 7.1759 Å
α = 90.00°, β = 90.00°, γ = 90.00°
Positions (direct):
Tl1 0.0000 0.0000 0.0000
As1 0.0000 0.0000 0.5000
Cl1 0.5000 0.5000 0.2699
Cl2 0.5000 0.5000 0.7301